Record 1
# AlTcSb2, relaxed, DFT PBE
data_AlTcSb2
_symmetry_space_group_name_H-M 'P 1'
_symmetry_Int_Tables_number 1
_symmetry_space_group_name_Hall 'P 1'
_cell_length_a 6.095
_cell_length_b 6.095
_cell_length_c 7.590
_cell_angle_alpha 66.33
_cell_angle_beta 66.33
_cell_angle_gamma 90.00
loop_
_atom_site_label
_atom_site_fract_x
_atom_site_fract_y
_atom_site_fract_z
Tc1 0.000 0.000 0.000
Tc2 0.750 0.250 0.500
Sb1 0.103 0.625 0.250
Sb2 0.375 0.353 0.750
Sb3 0.875 0.897 0.750
Sb4 0.647 0.125 0.250
Al1 0.250 0.750 0.500
Al2 0.500 0.500 0.000
# energy relative to the elements, uncorrected = 457 meV/atom
# space-group type = I-42d, No. 122
# VASP energy = -5.1311 eV/atom



Record 2
# HfNb2Tc3, relaxed, DFT PBE
data_HfNb2Tc3
_symmetry_space_group_name_H-M 'P 1'
_symmetry_Int_Tables_number 1
_symmetry_space_group_name_Hall 'P 1'
_cell_length_a 3.213
_cell_length_b 3.213
_cell_length_c 9.661
_cell_angle_alpha 90.00
_cell_angle_beta 90.00
_cell_angle_gamma 90.00
loop_
_atom_site_label
_atom_site_fract_x
_atom_site_fract_y
_atom_site_fract_z
Tc1 0.000 0.000 0.326
Tc2 0.000 0.000 0.674
Tc3 0.000 0.000 0.000
Nb1 0.500 0.500 0.834
Nb2 0.500 0.500 0.166
Hf1 0.500 0.500 0.500
# space-group type = P4/mmm, No. 123
# calculated formation energy = -2.5 eV per formula unit
# VASP energy = -10.6211 eV/atom



Record 3
# ZnIO2, relaxed, DFT PBE
data_ZnIO2
_symmetry_space_group_name_H-M 'P 1'
_symmetry_Int_Tables_number 1
_symmetry_space_group_name_Hall 'P 1'
_cell_length_a 3.846
_cell_length_b 3.081
_cell_length_c 6.409
_cell_angle_alpha 90.00
_cell_angle_beta 100.40
_cell_angle_gamma 90.00
loop_
_atom_site_label
_atom_site_fract_x
_atom_site_fract_y
_atom_site_fract_z
Zn1 0.500 0.000 0.000
O1 0.155 0.500 0.949
O2 0.845 0.500 0.051
I1 0.500 0.000 0.500
# energy relative to the elements, uncorrected = -387 meV/atom
# space-group type = P2/m, No. 10
# VASP energy = -3.5725 eV/atom
# relative energy among the computed polymorphs = 0.279 eV/atom



Record 4
# LaSiSe3, relaxed, DFT PBE
data_LaSiSe3
_symmetry_space_group_name_H-M 'P 1'
_symmetry_Int_Tables_number 1
_symmetry_space_group_name_Hall 'P 1'
_cell_length_a 4.920
_cell_length_b 4.920
_cell_length_c 4.920
_cell_angle_alpha 90.00
_cell_angle_beta 90.00
_cell_angle_gamma 90.00
loop_
_atom_site_label
_atom_site_fract_x
_atom_site_fract_y
_atom_site_fract_z
Se1 0.000 0.000 0.500
Se2 0.000 0.500 0.000
Se3 0.500 0.000 0.000
La1 0.500 0.500 0.500
Si1 0.000 0.000 0.000
# energy relative to the elements, uncorrected = -872 meV/atom
# space-group type = Pm-3m, No. 221
# VASP energy = -5.0329 eV/atom
# relative energy among the computed polymorphs = 0.382 eV/atom



Record 5
# CaTbGd4, relaxed, DFT PBE
data_CaTbGd4
_symmetry_space_group_name_H-M 'P 1'
_symmetry_Int_Tables_number 1
_symmetry_space_group_name_Hall 'P 1'
_cell_length_a 6.679
_cell_length_b 6.679
_cell_length_c 6.679
_cell_angle_alpha 60.00
_cell_angle_beta 60.00
_cell_angle_gamma 60.00
loop_
_atom_site_label
_atom_site_fract_x
_atom_site_fract_y
_atom_site_fract_z
Ca1 0.250 0.250 0.250
Gd1 0.627 0.627 0.119
Gd2 0.627 0.119 0.627
Gd3 0.119 0.627 0.627
Gd4 0.627 0.627 0.627
Tb1 0.000 0.000 0.000
# space-group type = F-43m, No. 216
# calculated formation energy = 1.3 eV per formula unit
# VASP energy = -10.2754 eV/atom



Record 6
# Cu4Sb2S5, relaxed, DFT PBE
data_Cu4Sb2S5
_symmetry_space_group_name_H-M 'P 1'
_symmetry_Int_Tables_number 1
_symmetry_space_group_name_Hall 'P 1'
_cell_length_a 3.730
_cell_length_b 3.730
_cell_length_c 17.493
_cell_angle_alpha 83.88
_cell_angle_beta 83.88
_cell_angle_gamma 60.00
loop_
_atom_site_label
_atom_site_fract_x
_atom_site_fract_y
_atom_site_fract_z
S1 0.636 0.636 0.092
S2 0.241 0.241 0.277
S3 0.500 0.500 0.500
S4 0.364 0.364 0.908
S5 0.759 0.759 0.723
Cu1 0.315 0.315 0.055
Cu2 0.685 0.685 0.945
Cu3 0.593 0.593 0.221
Cu4 0.407 0.407 0.779
Sb1 0.870 0.870 0.389
Sb2 0.130 0.130 0.611
# energy relative to the elements, uncorrected = -92 meV/atom
# space-group type = R-3m, No. 166
# VASP energy = -4.2071 eV/atom



Record 7
# Ca2YBiH, relaxed, DFT PBE
data_Ca2YBiH
_symmetry_space_group_name_H-M 'P 1'
_symmetry_Int_Tables_number 1
_symmetry_space_group_name_Hall 'P 1'
_cell_length_a 4.994
_cell_length_b 4.994
_cell_length_c 4.910
_cell_angle_alpha 90.00
_cell_angle_beta 90.00
_cell_angle_gamma 90.00
loop_
_atom_site_label
_atom_site_fract_x
_atom_site_fract_y
_atom_site_fract_z
Ca1 0.000 0.500 0.000
Ca2 0.500 0.000 0.000
H1 0.000 0.000 0.000
Y1 0.000 0.000 0.500
Bi1 0.500 0.500 0.500
# space-group type = P4/mmm, No. 123
# VASP energy = -3.9259 eV/atom



Record 8
# Ta2V9Tc, relaxed, DFT PBE
data_Ta2V9Tc
_symmetry_space_group_name_H-M 'P 1'
_symmetry_Int_Tables_number 1
_symmetry_space_group_name_Hall 'P 1'
_cell_length_a 5.034
_cell_length_b 5.034
_cell_length_c 8.582
_cell_angle_alpha 72.94
_cell_angle_beta 72.94
_cell_angle_gamma 60.00
loop_
_atom_site_label
_atom_site_fract_x
_atom_site_fract_y
_atom_site_fract_z
V1 0.500 0.500 0.500
V2 0.082 0.584 0.750
V3 0.584 0.082 0.750
V4 0.668 0.668 0.997
V5 0.584 0.584 0.750
V6 0.918 0.416 0.250
V7 0.416 0.918 0.250
V8 0.416 0.416 0.250
V9 0.332 0.332 0.003
Ta1 0.145 0.145 0.566
Ta2 0.855 0.855 0.434
Tc1 0.000 0.000 0.000
# space-group type = R-3m, No. 166
# calculated formation energy = 2.1 eV per formula unit
# VASP energy = -9.5059 eV/atom



Record 9
# MgSnAu2, relaxed, DFT PBE
data_MgSnAu2
_symmetry_space_group_name_H-M 'P 1'
_symmetry_Int_Tables_number 1
_symmetry_space_group_name_Hall 'P 1'
_cell_length_a 4.409
_cell_length_b 4.409
_cell_length_c 9.677
_cell_angle_alpha 76.83
_cell_angle_beta 76.83
_cell_angle_gamma 90.00
loop_
_atom_site_label
_atom_site_fract_x
_atom_site_fract_y
_atom_site_fract_z
Mg1 0.250 0.750 0.500
Mg2 0.500 0.500 0.000
Sn1 0.750 0.250 0.500
Sn2 0.000 0.000 0.000
Au1 0.875 0.867 0.750
Au2 0.617 0.125 0.250
Au3 0.133 0.625 0.250
Au4 0.375 0.383 0.750
# space-group type = I-42d, No. 122
# calculated formation energy = -0.6 eV per formula unit
# VASP energy = -3.1968 eV/atom



Record 10
# Be2AlCu, relaxed, DFT PBE
data_Be2AlCu
_symmetry_space_group_name_H-M 'P 1'
_symmetry_Int_Tables_number 1
_symmetry_space_group_name_Hall 'P 1'
_cell_length_a 4.002
_cell_length_b 2.623
_cell_length_c 4.348
_cell_angle_alpha 90.56
_cell_angle_beta 90.00
_cell_angle_gamma 90.00
loop_
_atom_site_label
_atom_site_fract_x
_atom_site_fract_y
_atom_site_fract_z
Al1 0.500 0.750 0.750
Be1 0.000 0.440 0.493
Be2 0.000 0.060 0.007
Cu1 0.500 0.250 0.250
# space-group type = P2/m, No. 10
# calculated formation energy = 0.6 eV per formula unit
# VASP energy = -3.6849 eV/atom



Record 11
# PrNd2, relaxed, DFT PBE
data_PrNd2
_symmetry_space_group_name_H-M 'P 1'
_symmetry_Int_Tables_number 1
_symmetry_space_group_name_Hall 'P 1'
_cell_length_a 6.757
_cell_length_b 6.757
_cell_length_c 6.757
_cell_angle_alpha 60.00
_cell_angle_beta 60.00
_cell_angle_gamma 60.00
loop_
_atom_site_label
_atom_site_fract_x
_atom_site_fract_y
_atom_site_fract_z
Nd1 0.625 0.125 0.625
Nd2 0.625 0.625 0.125
Nd3 0.125 0.625 0.625
Nd4 0.625 0.625 0.625
Pr1 0.250 0.250 0.250
Pr2 0.000 0.000 0.000
# space-group type = Fd-3m, No. 227
# calculated formation energy = 0.7 eV per formula unit
# VASP energy = -4.5292 eV/atom
# relative energy among the computed polymorphs = 0.233 eV/atom



Record 12
# MnTcAs2, relaxed, DFT PBE
data_MnTcAs2
_symmetry_space_group_name_H-M 'P 1'
_symmetry_Int_Tables_number 1
_symmetry_space_group_name_Hall 'P 1'
_cell_length_a 6.289
_cell_length_b 6.289
_cell_length_c 6.289
_cell_angle_alpha 149.03
_cell_angle_beta 150.73
_cell_angle_gamma 43.14
loop_
_atom_site_label
_atom_site_fract_x
_atom_site_fract_y
_atom_site_fract_z
Tc1 0.292 0.792 0.500
Mn1 0.543 0.543 0.000
As1 0.962 0.962 0.000
As2 0.703 0.203 0.500
# space-group type = Imm2, No. 44
# calculated formation energy = -0.4 eV per formula unit
# VASP energy = -7.3136 eV/atom
# relative energy among the computed polymorphs = 0.001 eV/atom